# 1
! PBE Cs4RbBr5, relaxed; values from VASP
&SYSTEM
  ibrav = 0, nat = 10, ntyp = 3
/
ATOMIC_SPECIES
Br 79.90 Br.upf
Cs 132.91 Cs.upf
Rb 85.47 Rb.upf
CELL_PARAMETERS angstrom
5.071 0.000 -0.978
-0.376 7.026 -1.950
0.002 -0.007 13.642
ATOMIC_POSITIONS crystal
Br 0.201 0.701 0.402
Br 0.799 0.299 0.598
Br 0.000 0.500 0.000
Br 0.406 0.906 0.812
Br 0.594 0.094 0.188
Cs 0.197 0.197 0.395
Cs 0.599 0.599 0.198
Cs 0.401 0.401 0.802
Cs 0.803 0.803 0.605
Rb 0.000 0.000 0.000
! * Fermi-level density of states: 0.00 states/eV per cell
! * formation energy (no corrections): -1.775 eV/atom
! * symmetry: Immm, No. 71

---

# 2
! PBE NaMgSc2Cd, relaxed; values from VASP
&SYSTEM
  ibrav = 0, nat = 5, ntyp = 4
/
ATOMIC_SPECIES
Cd 112.41 Cd.upf
Na 22.99 Na.upf
Mg 24.30 Mg.upf
Sc 44.96 Sc.upf
CELL_PARAMETERS angstrom
-4.421 2.090 1.913
-2.197 -4.487 -0.174
1.645 -0.994 4.887
ATOMIC_POSITIONS crystal
Cd 0.500 0.500 0.500
Na 0.000 0.000 0.000
Mg 0.000 0.500 0.000
Sc 0.000 0.000 0.500
Sc 0.500 0.000 0.000
! * energy relative to the elements: 843 meV/atom
! * Fermi-level density of states: 4.15 states/eV per cell
! * symmetry: P4/mmm, No. 123

---

# 3
! PBE La2Sm7Er, relaxed; values from VASP
&SYSTEM
  ibrav = 0, nat = 10, ntyp = 3
/
ATOMIC_SPECIES
Sm 150.36 Sm.upf
La 138.91 La.upf
Er 167.26 Er.upf
CELL_PARAMETERS angstrom
-5.768 2.539 0.529
-0.951 -8.416 4.623
3.234 4.009 3.626
ATOMIC_POSITIONS crystal
Sm 0.298 0.099 0.600
Sm 0.500 0.500 0.000
Sm 0.896 0.297 0.800
Sm 0.598 0.196 0.198
Sm 0.702 0.901 0.400
Sm 0.104 0.703 0.200
Sm 0.402 0.804 0.802
La 0.200 0.397 0.399
La 0.800 0.603 0.601
Er 0.000 0.000 0.000
! * energy relative to the elements: 22 meV/atom
! * Fermi-level density of states: 16.66 states/eV per cell
! * polymorph energy (0 for the lowest one): 0.00 eV per formula unit
! * symmetry: P-1, No. 2

---

# 4
! PBE Ba3DyPa2O9, relaxed; values from VASP
&SYSTEM
  ibrav = 0, nat = 15, ntyp = 4
/
ATOMIC_SPECIES
O 16.00 O.upf
Ba 137.33 Ba.upf
Dy 162.50 Dy.upf
Pa 231.04 Pa.upf
CELL_PARAMETERS angstrom
-3.590 5.180 -0.191
-1.969 -5.085 3.165
3.465 2.637 6.393
ATOMIC_POSITIONS crystal
O 0.169 0.339 0.332
O 0.831 0.169 0.668
O 0.169 0.831 0.332
O 0.339 0.169 0.668
O 0.661 0.831 0.332
O 0.831 0.661 0.668
O 0.500 0.500 0.000
O 0.000 0.500 0.000
O 0.500 0.000 0.000
Ba 0.000 0.000 0.000
Ba 0.333 0.667 0.654
Ba 0.667 0.333 0.346
Dy 0.000 0.000 0.500
Pa 0.667 0.333 0.830
Pa 0.333 0.667 0.170
! * Fermi-level density of states: 6.92 states/eV per cell
! * formation energy (no corrections): -3.276 eV/atom
! * symmetry: P-3m1, No. 164

---

# 5
! PBE PmTlIn, relaxed; values from VASP
&SYSTEM
  ibrav = 0, nat = 6, ntyp = 3
/
ATOMIC_SPECIES
Tl 204.38 Tl.upf
Pm 145.00 Pm.upf
In 114.82 In.upf
CELL_PARAMETERS angstrom
0.968 4.152 -3.496
-4.364 -2.545 -4.231
-3.831 0.371 3.728
ATOMIC_POSITIONS crystal
Tl 0.673 0.250 0.847
Tl 0.327 0.750 0.153
Pm 0.665 0.750 0.829
Pm 0.335 0.250 0.171
In 0.000 0.500 0.500
In 0.000 0.000 0.500
! * energy relative to the elements: -332 meV/atom
! * Fermi-level density of states: 1.92 states/eV per cell
! * polymorph energy (0 for the lowest one): 0.08 eV per formula unit
! * symmetry: Cmcm, No. 63

---

# 6
! PBE GeHRh3, relaxed; values from VASP
&SYSTEM
  ibrav = 0, nat = 5, ntyp = 3
/
ATOMIC_SPECIES
H 1.01 H.upf
Rh 102.91 Rh.upf
Ge 72.64 Ge.upf
CELL_PARAMETERS angstrom
4.567 0.000 0.000
0.000 4.567 0.000
0.000 0.000 4.567
ATOMIC_POSITIONS crystal
H 0.500 0.500 0.500
Rh 0.000 0.500 0.000
Rh 0.500 0.000 0.000
Rh 0.000 0.000 0.500
Ge 0.000 0.000 0.000
! * Fermi-level density of states: 6.48 states/eV per cell
! * polymorph energy (0 for the lowest one): 7.48 eV per formula unit
! * symmetry: Pm-3m, No. 221

---

# 7
! PBE Zr3Fe5H12, relaxed; values from VASP
&SYSTEM
  ibrav = 0, nat = 80, ntyp = 3
/
ATOMIC_SPECIES
Zr 91.22 Zr.upf
H 1.01 H.upf
Fe 55.84 Fe.upf
CELL_PARAMETERS angstrom
9.439 0.000 0.000
-3.146 8.899 0.000
-3.146 -4.449 7.707
ATOMIC_POSITIONS crystal
Zr 0.750 0.875 0.625
Zr 0.875 0.125 0.250
Zr 0.250 0.625 0.875
Zr 0.625 0.375 0.750
Zr 0.125 0.250 0.875
Zr 0.625 0.250 0.375
Zr 0.375 0.750 0.625
Zr 0.250 0.125 0.375
Zr 0.125 0.875 0.750
Zr 0.750 0.375 0.125
Zr 0.875 0.750 0.125
Zr 0.375 0.625 0.250
H 0.965 0.377 0.295
H 0.205 0.670 0.082
H 0.295 0.418 0.830
H 0.877 0.295 0.465
H 0.705 0.582 0.170
H 0.088 0.918 0.123
H 0.830 0.912 0.035
H 0.623 0.035 0.205
H 0.088 0.170 0.465
H 0.377 0.412 0.082
H 0.670 0.465 0.588
H 0.705 0.123 0.035
H 0.918 0.088 0.623
H 0.412 0.377 0.582
H 0.082 0.912 0.377
H 0.795 0.330 0.918
H 0.035 0.412 0.830
H 0.123 0.418 0.088
H 0.588 0.965 0.670
H 0.170 0.088 0.965
H 0.588 0.623 0.418
H 0.795 0.465 0.377
H 0.377 0.965 0.795
H 0.412 0.035 0.330
H 0.418 0.123 0.588
H 0.418 0.295 0.330
H 0.918 0.830 0.795
H 0.623 0.588 0.918
H 0.170 0.082 0.705
H 0.582 0.877 0.412
H 0.877 0.582 0.912
H 0.295 0.877 0.965
H 0.912 0.830 0.535
H 0.912 0.082 0.877
H 0.535 0.330 0.912
H 0.082 0.170 0.205
H 0.330 0.795 0.418
H 0.582 0.705 0.670
H 0.330 0.535 0.412
H 0.670 0.205 0.582
H 0.465 0.795 0.877
H 0.965 0.588 0.170
H 0.465 0.670 0.088
H 0.035 0.623 0.705
H 0.123 0.705 0.535
H 0.830 0.918 0.295
H 0.205 0.535 0.623
H 0.535 0.205 0.123
Fe 0.875 0.625 0.750
Fe 0.000 0.500 0.000
Fe 0.000 0.000 0.500
Fe 0.750 0.625 0.375
Fe 0.250 0.375 0.625
Fe 0.875 0.250 0.625
Fe 0.500 0.000 0.500
Fe 0.375 0.250 0.125
Fe 0.125 0.375 0.250
Fe 0.125 0.750 0.375
Fe 0.000 0.000 0.000
Fe 0.000 0.500 0.500
Fe 0.750 0.125 0.875
Fe 0.500 0.000 0.000
Fe 0.500 0.500 0.000
Fe 0.625 0.875 0.250
Fe 0.250 0.875 0.125
Fe 0.375 0.125 0.750
Fe 0.625 0.750 0.875
Fe 0.500 0.500 0.500
! * Fermi-level density of states: 43.83 states/eV per cell
! * final energy: -0.205 Ha/atom
! * symmetry: Ia-3d, No. 230

---

# 8
! PBE GdPH5CO7, relaxed; values from VASP
&SYSTEM
  ibrav = 0, nat = 30, ntyp = 5
/
ATOMIC_SPECIES
O 16.00 O.upf
C 12.01 C.upf
H 1.01 H.upf
P 30.97 P.upf
Gd 157.25 Gd.upf
CELL_PARAMETERS angstrom
-4.989 -0.140 -4.338
1.285 -6.752 -1.324
-4.420 0.714 6.223
ATOMIC_POSITIONS crystal
O 0.823 0.071 0.349
O 0.526 0.765 0.107
O 0.798 0.629 0.733
O 0.802 0.062 0.964
O 0.058 0.757 0.350
O 0.180 0.571 0.976
O 0.942 0.243 0.650
O 0.820 0.429 0.024
O 0.474 0.235 0.893
O 0.202 0.371 0.267
O 0.198 0.938 0.036
O 0.566 0.776 0.504
O 0.434 0.224 0.496
O 0.177 0.929 0.651
C 0.933 0.090 0.499
C 0.067 0.910 0.501
H 0.378 0.702 0.798
H 0.169 0.517 0.323
H 0.284 0.327 0.362
H 0.540 0.758 0.371
H 0.460 0.242 0.629
H 0.622 0.298 0.202
H 0.716 0.673 0.638
H 0.443 0.834 0.560
H 0.557 0.166 0.440
H 0.831 0.483 0.677
P 0.327 0.743 0.981
P 0.673 0.257 0.019
Gd 0.129 0.223 0.937
Gd 0.871 0.777 0.063
! * Fermi-level density of states: 0.00 states/eV per cell
! * final energy: -0.258 Ha/atom
! * symmetry: P-1, No. 2

---

# 9
! PBE Cs7K12S, relaxed; values from VASP
&SYSTEM
  ibrav = 0, nat = 20, ntyp = 3
/
ATOMIC_SPECIES
Cs 132.91 Cs.upf
K 39.10 K.upf
S 32.06 S.upf
CELL_PARAMETERS angstrom
-4.652 6.187 3.745
-10.056 -11.143 -0.666
11.142 -1.627 9.947
ATOMIC_POSITIONS crystal
Cs 0.500 0.000 0.000
Cs 0.914 0.000 0.217
Cs 0.914 0.217 0.000
Cs 0.697 0.783 0.783
Cs 0.086 0.783 0.000
Cs 0.303 0.217 0.217
Cs 0.086 0.000 0.783
K 0.500 0.593 0.408
K 0.484 0.362 0.999
K 0.484 0.001 0.363
K 0.093 0.185 0.593
K 0.516 0.999 0.637
K 0.516 0.638 0.001
K 0.907 0.815 0.407
K 0.121 0.637 0.638
K 0.879 0.363 0.362
K 0.907 0.408 0.815
K 0.093 0.592 0.185
K 0.500 0.407 0.592
S 0.000 0.000 0.000
! * Fermi-level density of states: 15.21 states/eV per cell
! * formation energy (no corrections): -0.076 eV/atom
! * symmetry: R-3, No. 148

---

# 10
! PBE Ta4TiRe5, relaxed; values from VASP
&SYSTEM
  ibrav = 0, nat = 10, ntyp = 3
/
ATOMIC_SPECIES
Ta 180.95 Ta.upf
Re 186.21 Re.upf
Ti 47.87 Ti.upf
CELL_PARAMETERS angstrom
-1.231 0.466 2.904
-2.911 -0.644 -1.130
2.103 -15.417 3.366
ATOMIC_POSITIONS crystal
Ta 0.000 0.000 0.399
Ta 0.000 0.000 0.804
Ta 0.000 0.000 0.196
Ta 0.000 0.000 0.601
Re 0.500 0.500 0.902
Re 0.500 0.500 0.098
Re 0.500 0.500 0.500
Re 0.500 0.500 0.299
Re 0.500 0.500 0.701
Ti 0.000 0.000 0.000
! * energy relative to the elements: -431 meV/atom
! * Fermi-level density of states: 4.61 states/eV per cell
! * symmetry: P4/mmm, No. 123

---

# 11
! PBE SrOs4, relaxed; values from VASP
&SYSTEM
  ibrav = 0, nat = 5, ntyp = 2
/
ATOMIC_SPECIES
Os 190.23 Os.upf
Sr 87.62 Sr.upf
CELL_PARAMETERS angstrom
-3.132 -3.246 1.182
0.344 -1.880 -4.253
3.437 -2.770 1.502
ATOMIC_POSITIONS crystal
Os 0.500 0.000 0.500
Os 0.000 0.000 0.000
Os 0.000 0.500 0.500
Os 0.500 0.500 0.000
Sr 0.500 0.500 0.500
! * energy relative to the elements: 4153 meV/atom
! * Fermi-level density of states: 7.90 states/eV per cell
! * polymorph energy (0 for the lowest one): 18.74 eV per formula unit
! * symmetry: Pm-3m, No. 221

---

# 12
! PBE CsK6Hg2, relaxed; values from VASP
&SYSTEM
  ibrav = 0, nat = 9, ntyp = 3
/
ATOMIC_SPECIES
K 39.10 K.upf
Cs 132.91 Cs.upf
Hg 200.59 Hg.upf
CELL_PARAMETERS angstrom
-1.539 -0.305 4.232
-1.445 -8.098 1.298
12.487 -4.370 6.632
ATOMIC_POSITIONS crystal
K 0.963 0.755 0.318
K 0.321 0.769 0.590
K 0.037 0.245 0.682
K 0.298 0.537 0.867
K 0.679 0.231 0.410
K 0.702 0.463 0.133
Cs 0.000 0.000 0.000
Hg 0.662 0.892 0.783
Hg 0.338 0.108 0.217
! * energy relative to the elements: -99 meV/atom
! * Fermi-level density of states: 5.36 states/eV per cell
! * polymorph energy (0 for the lowest one): 0.00 eV per formula unit
! * symmetry: C2/m, No. 12